7
Lattice="5.673 -1.705 0.000 5.673 1.705 0.000 -1.713 0.000 5.467" Properties=species:S:1:pos:R:3 comment="GdYMo2C3 (GGA-PBE, optimized geometry)" m_tot_mub_per_atom=0.00 dft_energy_ev_per_atom=-8.948 sg=Cm pbc="T T T"
Gd 0.000 0.000 0.000
Y 1.464 0.000 3.517
Mo 4.481 0.000 2.437
Mo 8.322 0.000 1.087
C 3.720 0.000 0.447
C 6.404 0.000 1.769
C 9.076 0.000 3.067